NbCr2W | PBE | relaxed

## Properties
DFT formation energy: 3.3 eV per formula unit
energy: -9.746 eV per atom
ρ: 10.2 g/cm3
energy above the most stable polymorph in this dataset: 817 meV/atom

a = 5.5098 Å, b = 5.5098 Å, c = 5.5098 Å
α = 103.65°, β = 103.65°, γ = 121.86°
Sites, in units of the cell vectors:
1 Nb 0.0000 0.0000 0.0000
2 Nb 0.7500 0.2500 0.5000
3 Cr 0.1346 0.6250 0.0096
4 Cr 0.3750 0.3846 0.5096
5 Cr 0.6154 0.1250 0.9904
6 Cr 0.8750 0.8654 0.4904
7 W 0.2500 0.7500 0.5000
8 W 0.5000 0.5000 0.0000

=====

Nd2Pa3Se6 | PBE | relaxed

## Properties
energy: -6.843 eV per atom
formation energy (no corrections): -143.38 kJ per mole of atoms
ρ: 8.2 g/cm3

a = 7.0115 Å, b = 7.0115 Å, c = 7.3363 Å
α = 99.20°, β = 99.20°, γ = 120.15°
Sites, in units of the cell vectors:
1 Nd 0.1662 0.8338 0.0000
2 Nd 0.8338 0.1662 0.0000
3 Pa 0.0000 0.0000 0.5000
4 Pa 0.3302 0.6698 0.5000
5 Pa 0.6698 0.3302 0.5000
6 Se 0.0975 0.4176 0.7513
7 Se 0.2629 0.2629 0.2532
8 Se 0.4176 0.0975 0.7513
9 Se 0.5824 0.9025 0.2487
10 Se 0.7371 0.7371 0.7468
11 Se 0.9025 0.5824 0.2487

=====

Li3Ag | PBE | relaxed

## Properties
DFT formation energy: -0.2 eV per formula unit
energy: -2.204 eV per atom
ρ: 3.0 g/cm3
energy above the most stable polymorph in this dataset: 91 meV/atom

a = 9.2512 Å, b = 9.2512 Å, c = 9.2512 Å
α = 18.86°, β = 18.86°, γ = 18.86°
Sites, in units of the cell vectors:
1 Li 0.0000 0.0000 0.0000
2 Li 0.2436 0.2436 0.2436
3 Li 0.7564 0.7564 0.7564
4 Ag 0.5000 0.5000 0.5000